Computed, not measured: a relaxed Na2CuMoO4 crystal at the PBE+U level of DFT.

Cell lengths 6.110, 6.110, 5.419 Å; angles 90.00, 90.00, 90.00 degrees
Space group I-42m (No. 121)
Symmetry-distinct sites (fractional):
1 Na 0.000 0.500 0.000 [4 per cell]
2 Cu 0.000 0.000 0.000 [2 per cell]
3 Mo 0.000 0.000 0.500 [2 per cell]
4 O 0.172 0.172 0.719 [8 per cell]

Calculated values
spin magnetization = 1.999 μB/cell
total energy = -5.43 eV per atom